Record 1
Compound: Dy2Ga9Sn
Source: Alexandria
Functional: PBE
Structure: optimized geometry

```
Dy2Ga9Sn
1.0
-1.6092 -1.1940 -3.7761
-3.0720 -2.1960 2.0035
-7.7295 10.7243 -0.0969
Ga Dy Sn
9 2 1
Direct
0.5000 0.0000 0.5000
0.5000 0.0000 0.1714
0.0000 0.5000 0.1714
0.0000 0.5000 0.5000
0.5000 0.5000 0.6601
0.0000 0.5000 0.8286
0.5000 0.0000 0.8286
0.5000 0.5000 0.0000
0.5000 0.5000 0.3399
0.0000 0.0000 0.6603
0.0000 0.0000 0.3397
0.0000 0.0000 0.0000
```

## Properties
D(E_F) = 4.7 states/eV/f.u.
Theoretical density = 7.4 g/cm³

***

Record 2
Compound: Dy2GaSn4
Source: Alexandria
Functional: PBE
Structure: optimized geometry

```
Dy2GaSn4
1.0
5.4605 0.0344 -3.1425
-1.7989 5.1558 -3.1425
0.0797 0.1130 6.4939
Dy Sn Ga
2 4 1
Direct
0.7856 0.2858 0.5714
0.2858 0.7856 0.5714
0.2856 0.2856 0.0712
0.2857 0.7856 0.0714
0.7856 0.2857 0.0714
0.7858 0.7858 0.0716
0.7858 0.7858 0.5716
```

## Properties
D(E_F) = 3.7 states/eV/f.u.
Theoretical density = 7.7 g/cm³

***

Record 3
Compound: Dy4GaSn
Source: Alexandria
Functional: PBE
Structure: optimized geometry

```
Dy4GaSn
1.0
6.1045 -0.3024 0.0000
-1.9293 8.1899 0.0000
-2.0876 -3.9437 6.8042
Ga Dy Sn
2 8 2
Direct
0.2503 0.0003 0.0007
0.7497 0.9997 0.9993
0.0431 0.2173 0.8447
0.3593 0.9329 0.6375
0.3016 0.6273 0.8447
0.2218 0.2954 0.3625
0.6407 0.0671 0.3625
0.9569 0.7827 0.1553
0.6984 0.3727 0.1553
0.7782 0.7046 0.6375
0.3727 0.6227 0.2455
0.6273 0.3773 0.7545
```

## Properties
D(E_F) = 6.8 states/eV/f.u.
Theoretical density = 8.3 g/cm³

***

Record 4
Compound: Dy2Ga3Sn3
Source: Alexandria
Functional: PBE
Structure: optimized geometry

```
Dy2Ga3Sn3
1.0
-2.3090 1.1426 -3.4839
3.3017 -1.3492 -2.6307
-3.8184 -8.7093 -0.3258
Dy Sn Ga
2 3 3
Direct
0.0000 0.0000 0.2425
0.0000 0.0000 0.7575
0.0000 0.5000 0.5000
0.0000 0.5000 0.0000
0.5000 0.0000 0.5000
0.5000 0.0000 0.0000
0.5000 0.5000 0.7675
0.5000 0.5000 0.2325
```

## Properties
D(E_F) = 3.6 states/eV/f.u.
Theoretical density = 8.1 g/cm³

***

Record 5
Compound: DyTmGaSn
Source: Alexandria
Functional: PBE
Structure: optimized geometry

```
DyTmGaSn
1.0
5.1846 0.0000 0.0000
2.5923 4.4900 0.0000
2.5923 1.4967 4.2332
Ga Dy Tm Sn
1 1 1 1
Direct
0.7500 0.7500 0.7500
0.0000 0.0000 0.0000
0.5000 0.5000 0.5000
0.2500 0.2500 0.2500
```

## Properties
D(E_F) = 3.0 states/eV/f.u.
Theoretical density = 8.8 g/cm³
ΔE to the lowest computed polymorph = 0.154 eV per atom

***

Record 6
Compound: DyTmGaSn
Source: Alexandria
Functional: PBE
Structure: optimized geometry

```
DyTmGaSn
1.0
4.4295 0.0000 0.0000
0.0000 4.1354 0.0000
-2.2147 0.0000 5.5314
Ga Dy Sn Tm
1 1 1 1
Direct
0.5883 0.5000 0.1766
0.1357 0.0000 0.2715
0.4185 0.0000 0.8371
0.8575 0.5000 0.7149
```

## Properties
D(E_F) = 3.4 states/eV/f.u.
Theoretical density = 8.5 g/cm³
ΔE to the lowest computed polymorph = 0.000 eV per atom

***

Number 1: DFT formation energy -3.56 eV/f.u.. Number 2: DFT formation energy -3.04 eV/f.u.. Number 3: DFT formation energy -2.75 eV/f.u.. Number 4: DFT formation energy -3.73 eV/f.u.. Number 5: DFT formation energy -2.10 eV/f.u.. Number 6: DFT formation energy -2.72 eV/f.u..